DFT (PBE-GGA) results for an optimized crystal structure of Mg2AlRe.

Cell and atoms, written as extended XYZ:
```
4
Lattice="-1.955 1.969 4.235 1.955 -1.969 4.235 1.955 1.969 -4.235" Properties=species:S:1:pos:R:3 pbc="T T T"
Mg 0.000 0.000 0.000
Mg 0.000 1.969 2.113
Al 0.000 0.000 4.229
Re 1.955 0.000 2.120
```

Summary:
Symmetry   No. 44
ΔE_f   0.11 eV/atom
Theoretical density   6.7 Mg/m³